Record 1
Density functional theory data (PBE-GGA) for NaZnBiF6 after structural relaxation.

Formation energy from raw total energies: -2454 meV per atom
Energy: -79.57 eV per cell

Lattice parameters (Å, degrees): 5.806 5.806 9.477 90.00 90.00 120.00
Positions (direct):
Zn  0.667  0.333  0.250
F  0.028  0.662  0.867
F  0.662  0.634  0.133
F  0.028  0.366  0.633
Bi  0.333  0.667  0.250
Bi  0.667  0.333  0.750
Zn  0.333  0.667  0.750
F  0.338  0.972  0.633
F  0.634  0.972  0.867
F  0.972  0.634  0.367
F  0.662  0.028  0.367
F  0.366  0.338  0.367
F  0.972  0.338  0.133
F  0.366  0.028  0.133
F  0.634  0.662  0.633
Na  0.000  0.000  0.500
F  0.338  0.366  0.867
Na  0.000  0.000  0.000

***

Record 2
Density functional theory data (PBE-GGA) for NaZn2BiF8 after structural relaxation.

Formation energy from raw total energies: -2415 meV per atom
Energy: -51.70 eV per cell

Lattice parameters (Å, degrees): 5.076 5.088 6.749 90.00 90.00 89.13
Positions (direct):
F  0.781  0.214  0.246
Bi  0.000  0.000  0.000
F  0.685  0.680  0.500
F  0.315  0.320  0.500
F  0.683  0.678  0.000
Na  0.000  0.000  0.500
F  0.781  0.214  0.754
Zn  0.500  0.500  0.732
F  0.219  0.786  0.754
F  0.317  0.322  0.000
F  0.219  0.786  0.246
Zn  0.500  0.500  0.268

***

Record 3
Density functional theory data (PBE-GGA) for NbBi2F after structural relaxation.

Formation energy from raw total energies: -124 meV per atom
E above lowest polymorph: 0.000 eV/atom
Energy: -20.20 eV per cell

Lattice parameters (Å, degrees): 4.986 4.986 4.986 60.00 60.00 60.00
Positions (direct):
F  0.000  0.000  0.000
Bi  0.750  0.750  0.750
Bi  0.250  0.250  0.250
Nb  0.500  0.500  0.500

***

Record 4
Density functional theory data (PBE-GGA) for Nb2BiF after structural relaxation.

Formation energy from raw total energies: -51 meV per atom
E above lowest polymorph: 0.000 eV/atom
Energy: -26.09 eV per cell

Lattice parameters (Å, degrees): 4.697 4.697 4.697 60.00 60.00 60.00
Positions (direct):
Bi  0.500  0.500  0.500
Nb  0.250  0.250  0.250
F  0.000  0.000  0.000
Nb  0.750  0.750  0.750

***

Record 5
Density functional theory data (PBE-GGA) for NbBi2F2 after structural relaxation.

Formation energy from raw total energies: -590 meV per atom
E above lowest polymorph: 0.132 eV/atom
Energy: -49.05 eV per cell

Lattice parameters (Å, degrees): 8.192 8.192 3.143 90.00 90.00 90.00
Last column: magnetic moment on the atom in μB.
Positions (direct):
Bi  0.766  0.734  0.000  0.00
Bi  0.234  0.266  0.000  0.00
Bi  0.266  0.766  0.000  0.00
F  0.889  0.389  0.500  0.01
Nb  0.500  0.500  0.000  0.41
F  0.611  0.889  0.500  0.01
Nb  0.000  0.000  0.000  0.41
F  0.389  0.111  0.500  0.01
F  0.111  0.611  0.500  0.01
Bi  0.734  0.234  0.000  0.00

***

Record 6
Density functional theory data (PBE-GGA) for Nb2BiF after structural relaxation.

Formation energy from raw total energies: -9 meV per atom
E above lowest polymorph: 0.042 eV/atom
Energy: -51.85 eV per cell

Lattice parameters (Å, degrees): 4.876 4.876 8.203 72.71 72.71 90.00
Positions (direct):
Nb  0.375  0.589  0.750
Bi  0.750  0.250  0.500
Nb  0.411  0.125  0.250
Nb  0.875  0.661  0.750
F  0.500  0.500  0.000
Bi  0.000  0.000  0.000
F  0.250  0.750  0.500
Nb  0.339  0.625  0.250

***

Record 7
Density functional theory data (PBE-GGA) for NbBiF3 after structural relaxation.

Formation energy from raw total energies: -1443 meV per atom
Energy: -26.78 eV per cell

Lattice parameters (Å, degrees): 4.386 4.386 4.386 90.00 90.00 90.00
Last column: magnetic moment on the atom in μB.
Positions (direct):
Nb  0.000  0.000  0.000  1.88
F  0.000  0.500  0.000  0.06
Bi  0.500  0.500  0.500  0.31
F  0.000  0.000  0.500  0.06
F  0.500  0.000  0.000  0.13

***

Record 8
Density functional theory data (PBE-GGA) for NbBi2F after structural relaxation.

Formation energy from raw total energies: 71 meV per atom
E above lowest polymorph: 0.195 eV/atom
Energy: -38.84 eV per cell

Lattice parameters (Å, degrees): 5.995 5.995 7.818 67.45 67.45 90.00
Positions (direct):
Nb  0.000  0.000  0.000
F  0.250  0.750  0.500
Nb  0.750  0.250  0.500
Bi  0.599  0.125  0.250
Bi  0.875  0.849  0.750
Bi  0.375  0.401  0.750
Bi  0.151  0.625  0.250
F  0.500  0.500  0.000

***

Record 9
Density functional theory data (PBE-GGA) for NbBi2F2 after structural relaxation.

Formation energy from raw total energies: -722 meV per atom
E above lowest polymorph: 0.000 eV/atom
Energy: -25.18 eV per cell

Lattice parameters (Å, degrees): 3.636 3.636 7.536 76.04 76.04 90.00
Positions (direct):
F  0.750  0.250  0.500
Bi  0.378  0.378  0.244
F  0.250  0.750  0.500
Nb  0.000  0.000  0.000
Bi  0.622  0.622  0.756

***

Record 10
Density functional theory data (PBE-GGA) for NbBiF after structural relaxation.

Formation energy from raw total energies: -914 meV per atom
Energy: -37.13 eV per cell

Lattice parameters (Å, degrees): 6.669 6.670 8.777 139.13 139.13 31.67
Positions (direct):
Nb  0.280  0.749  0.563
F  0.677  0.146  0.854
Nb  0.202  0.671  0.756
Bi  0.471  0.940  0.333
F  0.931  0.400  0.675
Bi  0.579  0.048  0.118

***

Record 11
Density functional theory data (PBE-GGA) for NbBi2OF after structural relaxation.

Formation energy from raw total energies: 292 meV per atom
Energy: -23.20 eV per cell

Lattice parameters (Å, degrees): 5.176 4.041 5.176 90.00 90.00 90.00
Last column: magnetic moment on the atom in μB.
Positions (direct):
F  0.000  0.000  0.000  0.01
Bi  0.000  0.000  0.500  -0.03
Nb  0.000  0.500  0.000  0.67
Bi  0.500  0.000  0.000  -0.05
O  0.500  0.500  0.500  0.06

***

Record 12
Density functional theory data (PBE-GGA) for NbBiO2F after structural relaxation.

Formation energy from raw total energies: -350 meV per atom
Energy: -27.49 eV per cell

Lattice parameters (Å, degrees): 4.498 4.498 4.405 90.00 90.00 90.00
Last column: magnetic moment on the atom in μB.
Positions (direct):
O  0.000  0.500  0.000  -0.06
Nb  0.500  0.500  0.500  2.76
F  0.000  0.000  0.500  0.04
Bi  0.000  0.000  0.000  0.01
O  0.500  0.000  0.000  -0.06

***

Record 13
Density functional theory data (PBE-GGA) for NbBiO2F after structural relaxation.

Formation energy from raw total energies: -1524 meV per atom
Energy: -33.36 eV per cell

Lattice parameters (Å, degrees): 4.081 4.081 4.438 90.00 90.00 90.00
Last column: magnetic moment on the atom in μB.
Positions (direct):
Bi  0.500  0.500  0.500  0.00
F  0.000  0.000  0.500  0.01
O  0.000  0.500  0.000  -0.01
Nb  0.000  0.000  0.000  0.41
O  0.500  0.000  0.000  -0.01

***

Record 14
Density functional theory data (PBE-GGA) for NbBi2PdF after structural relaxation.

Formation energy from raw total energies: 110 meV per atom
Energy: -24.34 eV per cell

Lattice parameters (Å, degrees): 4.990 4.223 4.990 90.00 90.00 90.00
Last column: magnetic moment on the atom in μB.
Positions (direct):
Pd  0.000  0.500  0.000  -0.03
Bi  0.000  0.000  0.500  -0.03
F  0.000  0.000  0.000  -0.01
Nb  0.500  0.500  0.500  0.43
Bi  0.500  0.000  0.000  -0.03

***

Record 15
Density functional theory data (PBE-GGA) for Rb2NbBiF6 after structural relaxation.

Formation energy from raw total energies: -2292 meV per atom
Energy: -50.03 eV per cell

Lattice parameters (Å, degrees): 6.327 6.327 7.330 64.43 64.43 90.00
Last column: magnetic moment on the atom in μB.
Positions (direct):
Bi  0.000  0.000  0.000  0.02
F  0.263  0.263  0.000  0.01
F  0.322  0.322  0.356  0.01
F  0.737  0.737  0.000  0.01
Rb  0.250  0.750  0.500  0.00
Nb  0.500  0.500  0.000  1.69
F  0.737  0.263  0.000  0.01
F  0.263  0.737  0.000  0.01
F  0.678  0.678  0.644  0.01
Rb  0.750  0.250  0.500  0.00

***

Record 16
Density functional theory data (PBE-GGA) for NbRe2BiF after structural relaxation.

Formation energy from raw total energies: 795 meV per atom
Energy: -36.74 eV per cell

Lattice parameters (Å, degrees): 4.992 4.014 4.992 90.00 90.00 90.00
Last column: magnetic moment on the atom in μB.
Positions (direct):
Bi  0.500  0.500  0.500  -0.05
Re  0.000  0.000  0.500  0.63
Nb  0.000  0.000  0.000  -0.15
Re  0.500  0.000  0.000  0.66
F  0.000  0.500  0.000  0.00

***

Record 17
Density functional theory data (PBE-GGA) for NbBi2SeF after structural relaxation.

Formation energy from raw total energies: 129 meV per atom
Energy: -22.54 eV per cell

Lattice parameters (Å, degrees): 4.758 5.138 4.758 90.00 90.00 90.00
Last column: magnetic moment on the atom in μB.
Positions (direct):
Bi  0.500  0.000  0.000  -0.08
Bi  0.000  0.000  0.500  -0.10
Nb  0.500  0.500  0.500  1.91
Se  0.000  0.500  0.000  -0.04
F  0.000  0.000  0.000  -0.01

***

Record 18
Density functional theory data (PBE-GGA) for Sr2NbBiF after structural relaxation.

Formation energy from raw total energies: -697 meV per atom
Energy: -22.67 eV per cell

Lattice parameters (Å, degrees): 5.477 4.578 5.477 90.00 90.00 90.00
Last column: magnetic moment on the atom in μB.
Positions (direct):
Sr  0.500  0.000  0.000  0.07
Bi  0.500  0.500  0.500  -0.03
F  0.000  0.000  0.000  0.06
Sr  0.000  0.000  0.500  0.08
Nb  0.000  0.500  0.000  2.62

***

Record 19
Density functional theory data (PBE-GGA) for TiNbBiF2 after structural relaxation.

Formation energy from raw total energies: -164 meV per atom
Energy: -26.41 eV per cell

Lattice parameters (Å, degrees): 4.335 6.061 4.335 90.00 90.00 90.00
Last column: magnetic moment on the atom in μB.
Positions (direct):
Nb  0.000  0.500  0.000  0.40
F  0.500  0.000  0.000  0.01
Ti  0.500  0.500  0.500  -0.39
Bi  0.000  0.000  0.000  0.01
F  0.000  0.000  0.500  0.00

***

Record 20
Density functional theory data (PBE-GGA) for ZrNb2BiF after structural relaxation.

Formation energy from raw total energies: -226 meV per atom
Energy: -35.57 eV per cell

Lattice parameters (Å, degrees): 4.466 4.550 4.466 90.00 90.00 90.00
Positions (direct):
Bi  0.500  0.500  0.500
Zr  0.000  0.500  0.000
F  0.000  0.000  0.000
Nb  0.500  0.000  0.000
Nb  0.000  0.000  0.500

***

Record 21
Density functional theory data (PBE-GGA) for Nd2BiF after structural relaxation.

Formation energy from raw total energies: -1490 meV per atom
Energy: -21.25 eV per cell

Lattice parameters (Å, degrees): 4.218 4.218 7.263 73.12 73.12 60.00
Positions (direct):
Bi  0.500  0.500  0.500
F  0.000  0.000  0.000
Nd  0.266  0.266  0.203
Nd  0.734  0.734  0.797

***

Record 22
Density functional theory data (PBE-GGA) for NdBi2F11 after structural relaxation.

Formation energy from raw total energies: -2627 meV per atom
Energy: -139.80 eV per cell

Lattice parameters (Å, degrees): 8.271 8.713 8.713 73.65 61.66 61.66
Positions (direct):
F  0.240  0.540  0.178
F  0.500  0.500  0.500
F  0.632  0.284  0.716
F  0.867  0.784  0.216
Bi  0.143  0.819  0.181
F  0.142  0.062  0.206
F  0.042  0.178  0.540
F  0.368  0.716  0.284
F  0.642  0.706  0.562
F  0.958  0.822  0.460
F  0.590  0.206  0.062
F  0.132  0.216  0.784
F  0.910  0.438  0.294
Bi  0.643  0.681  0.319
Bi  0.857  0.181  0.819
F  0.358  0.294  0.438
F  0.000  0.000  0.000
Nd  0.750  0.750  0.750
F  0.090  0.562  0.706
F  0.740  0.678  0.040
F  0.542  0.040  0.678
F  0.260  0.322  0.960
F  0.458  0.960  0.322
F  0.858  0.938  0.794
Bi  0.357  0.319  0.681
F  0.410  0.794  0.938
Nd  0.250  0.250  0.250
F  0.760  0.460  0.822

***

Record 23
Density functional theory data (PBE-GGA) for Nd2BiF11 after structural relaxation.

Formation energy from raw total energies: -3047 meV per atom
Energy: -153.33 eV per cell

Lattice parameters (Å, degrees): 8.361 8.724 8.724 75.00 61.37 61.37
Positions (direct):
F  0.841  0.921  0.795
F  0.562  0.010  0.688
F  0.062  0.188  0.510
F  0.741  0.688  0.010
F  0.944  0.421  0.295
F  0.159  0.079  0.205
F  0.759  0.490  0.812
Bi  0.250  0.250  0.250
F  0.626  0.281  0.719
F  0.000  0.000  0.000
F  0.444  0.795  0.921
Nd  0.640  0.682  0.318
F  0.126  0.219  0.781
F  0.241  0.510  0.188
Nd  0.360  0.318  0.682
F  0.374  0.719  0.281
F  0.500  0.500  0.500
F  0.556  0.205  0.079
F  0.341  0.295  0.421
Nd  0.140  0.818  0.182
F  0.938  0.812  0.490
F  0.874  0.781  0.219
F  0.659  0.705  0.579
F  0.438  0.990  0.312
Nd  0.860  0.182  0.818
Bi  0.750  0.750  0.750
F  0.259  0.312  0.990
F  0.056  0.579  0.705

***

Record 24
Density functional theory data (PBE-GGA) for NdBiF after structural relaxation.

Formation energy from raw total energies: -2035 meV per atom
Energy: -16.63 eV per cell

Lattice parameters (Å, degrees): 5.028 4.124 4.124 120.00 90.00 90.00
Positions (direct):
Nd  0.167  0.000  0.000
Bi  0.667  0.667  0.333
F  0.167  0.333  0.667